Entry 1:
11
Lattice="7.1994 -0.0960 -0.0729 -0.4554 6.8334 -0.2985 -0.4554 1.5525 6.6614" Properties=species:S:1:pos:R:3 comment="LiTh2Cl8 | Alexandria | PBE | relaxed" raw_formation_energy_mev_per_atom=-1995 de_polymorph_ev_per_atom=0.000 m_tot_mub_per_cell=1.10 e_tot_ev_per_atom=-4.861 pbc="T T T"
Th 3.6834 2.6479 2.0091
Th 2.6053 5.6421 4.2810
Cl 1.2531 3.6921 2.8014
Cl 1.8794 6.9536 1.8712
Cl 4.4093 1.3364 4.4188
Cl 4.4093 4.6155 0.0972
Cl 5.0355 4.5978 3.4886
Cl 0.3842 6.8604 5.2054
Cl 5.9044 1.4295 1.0847
Cl 1.8794 3.6745 6.1929
Li 0.0000 0.0000 0.0000

***

Entry 2:
7
Lattice="4.3360 0.0000 0.0000 0.0000 4.3360 0.0000 2.1680 2.1680 6.0973" Properties=species:S:1:pos:R:3 comment="FeTc4S2 | Alexandria | PBE | relaxed" raw_formation_energy_mev_per_atom=978 n_ef_per_ev_atom=1.010 m_tot_mub_per_cell=2.22 e_tot_ev_per_atom=-7.334 pbc="T T T"
S 2.1680 2.1680 1.3648
S 4.3360 4.3360 4.7326
Tc 0.0000 2.1680 0.0000
Tc 2.1680 0.0000 0.0000
Tc 4.3360 4.3360 2.5032
Tc 2.1680 2.1680 3.5942
Fe 0.0000 0.0000 0.0000

***

Entry 3:
4
Lattice="-2.9624 1.4443 3.9450 -2.3589 -3.5476 2.8766 1.5550 -0.8449 4.8263" Properties=species:S:1:pos:R:3 comment="ErTmMgAl | Alexandria | PBE | relaxed" n_ef_per_ev_atom=0.546 m_tot_mub_per_cell=0.00 e_tot_ev_per_atom=-3.854 ef_ev_per_atom=-0.261 pbc="T T T"
Tm -2.8247 -2.2111 8.7359
Er -0.9416 -0.7370 2.9120
Mg 0.0000 0.0000 0.0000
Al -1.8832 -1.4741 5.8239

***

Entry 4:
4
Lattice="-1.7511 -1.1777 -2.3869 1.3295 -0.5102 -2.8500 2.4255 -10.3572 1.2047" Properties=species:S:1:pos:R:3 comment="ThGaAg2 | Alexandria | PBE | relaxed" de_polymorph_ev_per_atom=0.545 n_ef_per_ev_atom=0.780 m_tot_mub_per_cell=0.00 e_tot_ev_per_atom=-3.721 ef_ev_per_atom=0.316 pbc="T T T"
Ag 0.3366 -4.5816 -4.3652
Ag 1.6674 -7.4634 0.3331
Ga 1.0020 -6.0225 -2.0161
Th 0.0000 0.0000 0.0000

***

Entry 5:
8
Lattice="-1.6687 -4.3885 -0.1831 0.1969 -0.4152 8.1571 -7.3268 2.6604 3.0083" Properties=species:S:1:pos:R:3 comment="RbAc2NdTe4 | Alexandria | PBE | relaxed" raw_formation_energy_mev_per_atom=-1405 n_ef_per_ev_atom=0.384 m_tot_mub_per_cell=0.00 e_tot_ev_per_atom=-4.720 pbc="T T T"
Te -3.5618 -3.7851 2.6071
Te -2.6091 -1.8057 6.7688
Te -6.1896 -0.3376 4.2136
Te -5.2369 1.6418 8.3753
Nd -3.5650 1.1226 5.5827
Rb -0.7359 -2.4019 3.9870
Ac -7.3268 2.6604 3.0083
Ac -4.4978 -0.8641 1.4126

***

Entry 6:
7
Lattice="4.3114 0.0000 0.0000 0.0000 4.3114 0.0000 0.0000 0.0000 6.9770" Properties=species:S:1:pos:R:3 comment="PaAl5Ru | Alexandria | PBE | relaxed" n_ef_per_ev_atom=0.711 m_tot_mub_per_cell=0.00 e_tot_ev_per_atom=-5.798 ef_ev_per_atom=-0.443 pbc="T T T"
Ru 0.0000 0.0000 3.4885
Al 2.1557 2.1557 0.0000
Al 0.0000 2.1557 2.1460
Al 2.1557 0.0000 4.8309
Al 0.0000 2.1557 4.8309
Al 2.1557 0.0000 2.1460
Pa 0.0000 0.0000 0.0000

***

Repeat the sixth record exactly.
7
Lattice="4.3114 0.0000 0.0000 0.0000 4.3114 0.0000 0.0000 0.0000 6.9770" Properties=species:S:1:pos:R:3 comment="PaAl5Ru | Alexandria | PBE | relaxed" n_ef_per_ev_atom=0.711 m_tot_mub_per_cell=0.00 e_tot_ev_per_atom=-5.798 ef_ev_per_atom=-0.443 pbc="T T T"
Ru 0.0000 0.0000 3.4885
Al 2.1557 2.1557 0.0000
Al 0.0000 2.1557 2.1460
Al 2.1557 0.0000 4.8309
Al 0.0000 2.1557 4.8309
Al 2.1557 0.0000 2.1460
Pa 0.0000 0.0000 0.0000